# TbSm3Ho2Er6 | Alexandria | PBE | relaxed
# Calculated formation energy   0.02 eV per atom
# N(E_F)   15.6 states/eV/f.u.
# Calculated volume   376.4 Å³/f.u.
# Magnetization   0.002 Bohr magnetons per cell
data_TbSm3Ho2Er6
_chemical_formula_sum 'Tb2 Sm6 Ho4 Er12'
_cell_length_a 6.1424
_cell_length_b 10.6298
_cell_length_c 11.7089
_cell_angle_alpha 90.00
_cell_angle_beta 100.02
_cell_angle_gamma 90.00
_symmetry_space_group_name_H-M 'C 1 2/m 1'
_symmetry_Int_Tables_number 12
loop_
_symmetry_equiv_pos_as_xyz
'x,y,z'
'-x,-y,-z'
'-x,y,-z'
'x,-y,z'
'x+1/2,y+1/2,z'
'-x+1/2,-y+1/2,-z'
'-x+1/2,y+1/2,-z'
'x+1/2,-y+1/2,z'
loop_
_atom_site_label
_atom_site_fract_x
_atom_site_fract_y
_atom_site_fract_z
Tb1 0.0000 0.0000 0.0000
Sm1 0.0000 0.1668 0.5000
Sm2 0.0000 0.5000 0.5000
Ho1 0.0000 0.3333 0.0000
Er1 0.2505 0.0000 0.7524
Er2 0.2497 0.1667 0.2476